1.
VASP calculation (PBE-GGA) on an optimized crystal structure of TaRuSeN2.

Cell: 3.831 3.831 5.150 Å, 90.00 90.00 90.00°
Each line ends with the local moment (μB).
Fractional coordinates of all 5 atoms:
Ru 0.000 0.000 0.000  0.30
N 0.000 0.500 0.000  -0.22
N 0.500 0.000 0.000  -0.22
Se 0.000 0.000 0.500  -0.02
Ta 0.500 0.500 0.500  1.37

## Properties
Its energy above the lowest structure with this stoichiometry is 402 meV per atom. The value obtained for the uncorrected formation energy is 1.095 eV/atom. The total moment comes out at 1.63 μB/f.u.

---

2.
VASP calculation (PBE-GGA) on an optimized crystal structure of TaRuSeN2.

Cell: 3.961 3.961 5.396 Å, 90.00 90.00 90.00°
Each line ends with the local moment (μB).
Fractional coordinates of all 5 atoms:
Ru 0.500 0.500 0.500  2.40
N 0.000 0.500 0.000  0.26
N 0.500 0.000 0.000  0.26
Se 0.000 0.000 0.500  0.05
Ta 0.000 0.000 0.000  -0.02

## Properties
Its energy above the lowest structure with this stoichiometry is 0 meV per atom. The value obtained for the uncorrected formation energy is 0.693 eV/atom. The total moment comes out at 3.34 μB/f.u.

---

3.
VASP calculation (PBE-GGA) on an optimized crystal structure of TcRuSeN2.

Cell: 3.794 3.794 5.422 Å, 90.00 90.00 90.00°
Each line ends with the local moment (μB).
Fractional coordinates of all 5 atoms:
Ru 0.000 0.000 0.000  0.04
Tc 0.500 0.500 0.500  3.18
Se 0.000 0.000 0.500  0.02
N 0.000 0.500 0.000  -0.01
N 0.500 0.000 0.000  -0.01

## Properties
Its energy above the lowest structure with this stoichiometry is 252 meV per atom. The value obtained for the uncorrected formation energy is 1.140 eV/atom. The total moment comes out at 3.63 μB/f.u.

---

4.
VASP calculation (PBE-GGA) on an optimized crystal structure of TcRuSeN2.

Cell: 3.735 5.575 3.735 Å, 90.00 90.00 90.00°
Each line ends with the local moment (μB).
Fractional coordinates of all 5 atoms:
Ru 0.000 0.500 0.000  0.33
Tc 0.000 0.000 0.000  0.00
Se 0.500 0.500 0.500  0.00
N 0.000 0.000 0.500  -0.01
N 0.500 0.000 0.000  0.00

## Properties
Its energy above the lowest structure with this stoichiometry is 0 meV per atom. The value obtained for the uncorrected formation energy is 0.888 eV/atom. The total moment comes out at 0.34 μB/f.u.

---

5.
VASP calculation (PBE-GGA) on an optimized crystal structure of TcRuSeN2.

Cell: 3.789 3.789 5.468 Å, 90.00 90.00 90.00°
Each line ends with the local moment (μB).
Fractional coordinates of all 5 atoms:
Ru 0.500 0.500 0.500  2.08
Tc 0.000 0.000 0.000  -0.09
Se 0.000 0.000 0.500  0.05
N 0.000 0.500 0.000  0.08
N 0.500 0.000 0.000  0.08

## Properties
Its energy above the lowest structure with this stoichiometry is 114 meV per atom. The value obtained for the uncorrected formation energy is 1.003 eV/atom. The total moment comes out at 2.43 μB/f.u.

---

6.
VASP calculation (PBE-GGA) on an optimized crystal structure of TeRuSe2N.

Cell: 5.122 5.122 3.710 Å, 90.00 90.00 90.00°
Fractional coordinates of all 5 atoms:
Ru 0.000 0.000 0.000
Te 0.500 0.500 0.500
Se 0.000 0.500 0.000
Se 0.500 0.000 0.000
N 0.000 0.000 0.500

## Properties
Its energy above the lowest structure with this stoichiometry is 0 meV per atom. The value obtained for the uncorrected formation energy is 0.360 eV/atom. The total moment comes out at 0.00 μB/f.u.

---

Among the records above, which one has the lowest total moment? TeRuSe2N

---

Please write out number 2 again, unchanged.
VASP calculation (PBE-GGA) on an optimized crystal structure of TaRuSeN2.

Cell: 3.961 3.961 5.396 Å, 90.00 90.00 90.00°
Each line ends with the local moment (μB).
Fractional coordinates of all 5 atoms:
Ru 0.500 0.500 0.500  2.40
N 0.000 0.500 0.000  0.26
N 0.500 0.000 0.000  0.26
Se 0.000 0.000 0.500  0.05
Ta 0.000 0.000 0.000  -0.02

## Properties
Its energy above the lowest structure with this stoichiometry is 0 meV per atom. The value obtained for the uncorrected formation energy is 0.693 eV/atom. The total moment comes out at 3.34 μB/f.u.

---

Which value of energy above the lowest structure with this stoichiometry does entry 6 give? 0 meV per atom